# 1
# YHPd2Rh

An optimized crystal structure of YHPd2Rh (PBE, the Alexandria database).

Structure (POSCAR):
```
YHPd2Rh
1.0
4.004 0.000 0.000
0.000 4.004 0.000
0.000 0.000 4.479
Y Rh Pd H
1 1 2 1
Cartesian
0.000 0.000 2.240
2.002 2.002 2.240
2.002 0.000 0.000
0.000 2.002 0.000
0.000 0.000 0.000
```

Results
* total moment: 0.00 μB/f.u.
* SG: P4/mmm (123)
* DOS at the Fermi energy: 5.67 states/eV/f.u.
* E: -6.037 eV per atom

# 2
# YH8Pd2Rh

An optimized crystal structure of YH8Pd2Rh (PBE, the Alexandria database).

Structure (POSCAR):
```
YH8Pd2Rh
1.0
4.377 0.415 0.632
0.480 4.374 0.686
0.980 1.012 5.813
Pd Rh H Y
2 1 8 1
Cartesian
3.041 3.046 5.025
2.795 2.755 2.106
0.000 0.000 0.000
1.151 1.112 0.581
3.530 3.669 3.540
2.306 2.132 3.590
2.527 4.756 5.313
3.309 1.046 1.817
4.686 4.689 6.550
4.773 2.507 5.238
1.063 3.294 1.893
0.490 0.506 2.907
```

Results
* total moment: 0.00 μB/f.u.
* SG: P-1 (2)
* DOS at the Fermi energy: 0.34 states/eV/f.u.
* E: -4.471 eV per atom